Below is a relaxed structure of Ho2ErTe4, with properties calculated at the PBE-GGA level.

abc: 7.429 7.429 14.884
angles: 90.00 90.00 147.09
Sites, in units of the cell vectors:
1 Ho 0.131 0.869 0.570
2 Ho 0.131 0.869 0.930
3 Ho 0.869 0.131 0.070
4 Ho 0.869 0.131 0.430
5 Er 0.371 0.629 0.750
6 Er 0.629 0.371 0.250
7 Te 0.029 0.971 0.750
8 Te 0.221 0.779 0.122
9 Te 0.221 0.779 0.378
10 Te 0.500 0.500 0.000
11 Te 0.500 0.500 0.500
12 Te 0.779 0.221 0.622
13 Te 0.779 0.221 0.878
14 Te 0.971 0.029 0.250

Values from the calculation:
E above lowest polymorph   51 meV/atom
E_form (uncorrected)   -1311 meV/atom